First-principles (PBE) data for crystalline RbSm2Br5 at its relaxed geometry, as listed in OQMD.

## Properties
Magnetization: 0.001 μB per atom
Energy: -3.96 eV/atom

a b c (Å): 8.0356 8.0356 15.2722
angles (deg): 90.00 90.00 90.00
With the nearest neighbours (Å) after each atom.
Space group I4/mcm (No. 140)
Inequivalent atoms, fractional coordinates:
Rb 0.0000 0.0000 0.2500 x4  10 Br 3.57-3.82
Sm 0.1459 0.3541 0.0000 x8  8 Br 3.05-3.10, 1 Sm 3.32
Br 0.0000 0.0000 0.0000 x4  4 Sm 3.08
Br 0.1503 0.3497 0.3701 x16  3 Sm 3.05-3.10